Entry 1:
Below is crystalline SrReIN2 at its relaxed geometry, with properties calculated at the PBE level.

Lattice parameters (Å, degrees): 4.120 4.120 5.548 90.00 90.00 90.00
Fractional coordinates of all 5 atoms:
N 0.500 0.000 0.000
N 0.000 0.500 0.000
Sr 0.500 0.500 0.500
I 0.000 0.000 0.500
Re 0.000 0.000 0.000

Computed properties:
ΔE_f (raw)	1.1	eV/f.u.
energy above the lowest structure with this stoichiometry	0	meV/atom
space-group type	No. 123



Entry 2:
Below is crystalline Ca2RhAu at its relaxed geometry, with properties calculated at the PBE level.

Lattice parameters (Å, degrees): 5.749 5.749 5.015 75.60 75.60 34.15
Fractional coordinates of all 4 atoms:
Au 0.223 0.223 0.229
Rh 0.522 0.522 0.532
Ca 0.980 0.980 0.052
Ca 0.776 0.776 0.687

Computed properties:
energy of formation	-1.8	eV/f.u.
space-group type	No. 8



Entry 3:
Below is crystalline Dy7ErTm5 at its relaxed geometry, with properties calculated at the PBE level.

Lattice parameters (Å, degrees): 6.587 8.612 8.612 80.53 67.52 67.52
Fractional coordinates of all 13 atoms:
Dy 0.019 0.308 0.654
Dy 0.520 0.808 0.151
Dy 0.576 0.424 0.424
Dy 0.267 0.733 0.733
Dy 0.269 0.231 0.231
Dy 0.019 0.654 0.308
Dy 0.520 0.151 0.808
Tm 0.535 0.459 0.002
Tm 0.771 0.729 0.729
Tm 0.004 0.002 0.459
Tm 0.004 0.459 0.002
Tm 0.535 0.002 0.459
Er 0.959 0.041 0.041

Computed properties:
energy of formation	3.4	eV/f.u.
space-group type	No. 44



Entry 4:
Below is crystalline Li2TiInHg at its relaxed geometry, with properties calculated at the PBE level.

Lattice parameters (Å, degrees): 5.664 5.664 5.546 90.00 90.00 90.00
Site moments in Bohr magnetons follow the coordinates.
Fractional coordinates of all 5 atoms:
Li 0.500 0.000 0.000  0.06
Li 0.000 0.500 0.000  0.06
Ti 0.000 0.000 0.000  2.01
Hg 0.500 0.500 0.500  0.05
In 0.000 0.000 0.500  0.16

Computed properties:
energy of formation	4.0	eV/f.u.
space-group type	No. 123



Entry 5:
Below is crystalline YHoH2 at its relaxed geometry, with properties calculated at the PBE level.

Lattice parameters (Å, degrees): 3.490 3.490 6.176 73.59 73.59 60.00
Fractional coordinates of all 4 atoms:
Ho 0.491 0.491 0.526
Y 0.672 0.672 0.985
H 0.257 0.257 0.228
H 0.079 0.079 0.762

Computed properties:
energy above the lowest structure with this stoichiometry	231	meV/atom
space-group type	No. 160



Entry 6:
Below is crystalline ErPaTl2O6 at its relaxed geometry, with properties calculated at the PBE level.

Lattice parameters (Å, degrees): 6.007 6.205 6.050 120.86 119.74 90.00
Fractional coordinates of all 10 atoms:
O 0.374 0.756 0.512
O 0.185 0.180 0.864
O 0.815 0.820 0.136
O 0.815 0.316 0.136
O 0.626 0.244 0.488
O 0.185 0.684 0.864
Tl 0.227 0.252 0.504
Tl 0.773 0.748 0.496
Pa 0.500 0.000 0.000
Er 0.000 0.500 0.000

Computed properties:
ΔE_f (raw)	-23.0	eV/f.u.
space-group type	No. 12



Entry 7:
Below is crystalline CeTl2InF8 at its relaxed geometry, with properties calculated at the PBE level.

Lattice parameters (Å, degrees): 6.123 6.123 6.955 116.12 116.12 90.00
Site moments in Bohr magnetons follow the coordinates.
Fractional coordinates of all 12 atoms:
F 0.859 0.818 0.242  0.00
F 0.575 0.141 0.758  0.00
F 0.182 0.616 0.758  0.00
F 0.384 0.425 0.242  0.00
F 0.384 0.818 0.242  0.00
F 0.182 0.141 0.758  0.00
F 0.859 0.425 0.242  0.00
F 0.575 0.616 0.758  0.00
Tl 0.750 0.250 0.500  0.00
Tl 0.000 0.000 0.000  0.00
In 0.500 0.500 0.000  0.04
Ce 0.250 0.750 0.500  0.92

Computed properties:
ΔE_f (raw)	-32.2	eV/f.u.
space-group type	No. 119



Entry 8:
Below is crystalline TiCu2I at its relaxed geometry, with properties calculated at the PBE level.

Lattice parameters (Å, degrees): 4.686 4.686 4.686 60.00 60.00 60.00
Site moments in Bohr magnetons follow the coordinates.
Fractional coordinates of all 4 atoms:
Ti 0.000 0.000 0.000  0.75
I 0.500 0.500 0.500  0.00
Cu 0.250 0.250 0.250  0.01
Cu 0.750 0.750 0.750  0.01

Computed properties:
ΔE_f (raw)	2.9	eV/f.u.
energy above the lowest structure with this stoichiometry	285	meV/atom
space-group type	No. 225



Record-wise raw total energy values, in eV/f.u.: -31.2, -16.4, -55.8, -10.8, -18.9, -71.5, -60.6, -14.8
Record-wise M_tot values, in μB per formula unit: 0.000, 0.000, 0.013, 3.649, 0.000, 0.000, 1.005, 0.926